Material: NpTiAlV
Method: DFT, GGA-PBE
State: optimized geometry

Summary:
* DFT formation energy: 0.47 eV/f.u.
* volume: 16.78 Å³/atom

Lattice parameters (Å, degrees): 6.451 6.451 6.451 90.00 90.00 90.00
Element x y z (fractional)
Np 0.000 0.000 0.000
Np 0.000 0.500 0.500
Np 0.500 0.000 0.500
Np 0.500 0.500 0.000
Ti 0.250 0.250 0.250
Ti 0.250 0.750 0.750
Ti 0.750 0.250 0.750
Ti 0.750 0.750 0.250
Al 0.000 0.000 0.500
Al 0.000 0.500 0.000
Al 0.500 0.000 0.000
Al 0.500 0.500 0.500
V 0.250 0.250 0.750
V 0.250 0.750 0.250
V 0.750 0.250 0.250
V 0.750 0.750 0.750